(1)
# Pm3Dy6Th

A relaxed structure of Pm3Dy6Th (PBE, the Alexandria database).

The value obtained for the formation energy is 0.08 eV/atom. The energy above the most stable polymorph in this dataset is 0.000 eV/atom. The volume is 654 Å³/cell. The total energy is -4.851 eV/atom.

The structure belongs to space group P2_1/m (No. 11); the cell edges are 13.0988, 3.5370 and 14.3477 Å and the angles 90.00°, 100.34° and 90.00°. Symmetry generates all atoms from Pm at (0.0753, 0.2500, 0.1013), Pm at (0.3728, 0.7500, 0.4961), Pm at (0.4213, 0.2500, 0.9022), Dy at (0.1191, 0.2500, 0.4859), Dy at (0.1902, 0.7500, 0.9205), Dy at (0.2200, 0.7500, 0.2868), Dy at (0.2699, 0.7500, 0.6984), Dy at (0.3445, 0.2500, 0.1208), Dy at (0.4988, 0.7500, 0.3091) and Th at (0.0413, 0.2500, 0.7214).


(2)
# Pm12Dy5Th

A relaxed structure of Pm12Dy5Th (PBE, the Alexandria database).

The value obtained for the formation energy is 0.08 eV/atom. The volume is 1206 Å³/cell. The total energy is -4.773 eV/atom.

The structure belongs to space group C2/m (No. 12); the cell edges are 12.1785, 16.9926 and 5.8296 Å and the angles 90.00°, 90.24° and 90.00°. Symmetry generates all atoms from Pm at (0.1493, 0.1772, 0.0065), Pm at (0.1503, 0.3204, 0.4955), Pm at (0.1978, 0.5000, 0.0537), Pm at (0.1999, 0.0000, 0.4434), Dy at (0.0000, 0.1364, 0.5000), Dy at (0.0000, 0.3622, 0.0000), Dy at (0.0000, 0.5000, 0.5000) and Th at (0.0000, 0.0000, 0.0000).


(3)
# Pm2DyTh

A relaxed structure of Pm2DyTh (PBE, the Alexandria database).

The value obtained for the formation energy is 0.20 eV/atom. The energy above the most stable polymorph in this dataset is 0.198 eV/atom. The volume is 532 Å³/cell. The total energy is -5.178 eV/atom.

The structure belongs to space group Fm-3m (No. 225); the cell edges are 8.1030, 8.1030 and 8.1030 Å and the angles 90.00°, 90.00° and 90.00°. Symmetry generates all atoms from Pm at (0.2500, 0.2500, 0.2500), Dy at (0.0000, 0.0000, 0.0000) and Th at (0.0000, 0.0000, 0.5000).